# 1
## Zr2Pa2Se7 (PBE)

Data for a geometry-optimized Zr2Pa2Se7 structure.

a b c (Å): 7.025 7.025 7.585
angles (deg): 92.91 92.91 108.39
Fractional positions:
1 Zr 0.144 0.856 0.000
2 Zr 0.856 0.144 0.000
3 Pa 0.216 0.216 0.643
4 Pa 0.784 0.784 0.357
5 Se 0.054 0.472 0.802
6 Se 0.110 0.110 0.270
7 Se 0.472 0.054 0.802
8 Se 0.500 0.500 0.500
9 Se 0.528 0.946 0.198
10 Se 0.890 0.890 0.730
11 Se 0.946 0.528 0.198

space group: C2/m, No. 12
energy: -6.55 eV/atom
magnetic moment: 0.21 μB per formula unit
energy relative to the lowest polymorph listed for this composition: 61 meV/atom
N(E_F): 5.7 states/eV/cell
energy relative to the elements, uncorrected: -1047 meV/atom


# 2
## Zr2Pa5Se12 (PBE)

Data for a geometry-optimized Zr2Pa5Se12 structure.

a b c (Å): 8.830 8.830 8.873
angles (deg): 104.61 104.61 49.49
Fractional positions:
1 Zr 0.208 0.792 0.000
2 Zr 0.792 0.208 0.000
3 Pa 0.177 0.177 0.848
4 Pa 0.193 0.193 0.342
5 Pa 0.500 0.500 0.500
6 Pa 0.807 0.807 0.658
7 Pa 0.823 0.823 0.152
8 Se 0.007 0.007 0.259
9 Se 0.087 0.569 0.907
10 Se 0.103 0.594 0.428
11 Se 0.406 0.897 0.572
12 Se 0.431 0.913 0.093
13 Se 0.497 0.497 0.197
14 Se 0.503 0.503 0.803
15 Se 0.569 0.087 0.907
16 Se 0.594 0.103 0.428
17 Se 0.897 0.406 0.572
18 Se 0.913 0.431 0.093
19 Se 0.993 0.993 0.741

space group: C2/m, No. 12
energy: -6.88 eV/atom
magnetic moment: 4.52 μB per formula unit
N(E_F): 21.8 states/eV/cell
energy relative to the elements, uncorrected: -1282 meV/atom


# 3
## ZrPaSe6 (PBE)

Data for a geometry-optimized ZrPaSe6 structure.

a b c (Å): 7.585 7.585 7.585
angles (deg): 60.00 60.00 60.00
Fractional positions:
1 Zr 0.000 0.000 0.000
2 Pa 0.500 0.500 0.500
3 Se 0.247 0.247 0.753
4 Se 0.247 0.753 0.247
5 Se 0.247 0.753 0.753
6 Se 0.753 0.247 0.247
7 Se 0.753 0.247 0.753
8 Se 0.753 0.753 0.247

space group: Fm-3m, No. 225
energy: -5.58 eV/atom
magnetic moment: 0.00 μB per formula unit
N(E_F): 6.1 states/eV/cell
energy relative to the elements, uncorrected: -708 meV/atom


# 4
## ZrPa4Se7 (PBE)

Data for a geometry-optimized ZrPa4Se7 structure.

a b c (Å): 4.093 4.093 23.023
angles (deg): 90.00 90.00 120.00
Fractional positions:
1 Zr 0.000 0.000 0.000
2 Pa 0.333 0.667 0.133
3 Pa 0.333 0.667 0.430
4 Pa 0.667 0.333 0.570
5 Pa 0.667 0.333 0.867
6 Se 0.000 0.000 0.203
7 Se 0.000 0.000 0.500
8 Se 0.000 0.000 0.797
9 Se 0.333 0.667 0.640
10 Se 0.333 0.667 0.937
11 Se 0.667 0.333 0.063
12 Se 0.667 0.333 0.360

space group: P-3m1, No. 164
energy: -7.18 eV/atom
magnetic moment: 2.01 μB per formula unit
N(E_F): 14.6 states/eV/cell
energy relative to the elements, uncorrected: -1271 meV/atom


# 5
## ZrPaSe (PBE)

Data for a geometry-optimized ZrPaSe structure.

a b c (Å): 3.472 3.472 6.784
angles (deg): 90.00 90.00 120.00
Fractional positions:
1 Zr 0.000 0.000 0.000
2 Pa 0.333 0.667 0.605
3 Se 0.667 0.333 0.273

space group: P3m1, No. 156
energy: -7.77 eV/atom
magnetic moment: 0.85 μB per formula unit
N(E_F): 4.3 states/eV/cell
energy relative to the elements, uncorrected: -589 meV/atom


# 6
## ZrPa2Se4 (PBE)

Data for a geometry-optimized ZrPa2Se4 structure.

a b c (Å): 7.978 7.978 6.588
angles (deg): 112.95 112.95 27.09
Fractional positions:
1 Zr 0.000 0.000 0.000
2 Pa 0.249 0.249 0.248
3 Pa 0.751 0.751 0.752
4 Se 0.116 0.116 0.786
5 Se 0.388 0.388 0.707
6 Se 0.612 0.612 0.293
7 Se 0.884 0.884 0.214

space group: C2/m, No. 12
energy: -7.14 eV/atom
magnetic moment: 0.00 μB per formula unit
N(E_F): 9.1 states/eV/cell
energy relative to the elements, uncorrected: -1219 meV/atom


# 7
## Zr2Pa2Se7 (PBE)

Data for a geometry-optimized Zr2Pa2Se7 structure.

a b c (Å): 9.446 9.446 9.446
angles (deg): 60.00 60.00 60.00
Fractional positions:
1 Zr 0.000 0.000 0.000
2 Zr 0.000 0.000 0.500
3 Zr 0.000 0.500 0.000
4 Zr 0.500 0.000 0.000
5 Pa 0.000 0.500 0.500
6 Pa 0.500 0.000 0.500
7 Pa 0.500 0.500 0.000
8 Pa 0.500 0.500 0.500
9 Se 0.101 0.101 0.649
10 Se 0.101 0.649 0.101
11 Se 0.101 0.649 0.649
12 Se 0.351 0.351 0.899
13 Se 0.351 0.899 0.351
14 Se 0.351 0.899 0.899
15 Se 0.375 0.375 0.375
16 Se 0.625 0.625 0.625
17 Se 0.649 0.101 0.101
18 Se 0.649 0.101 0.649
19 Se 0.649 0.649 0.101
20 Se 0.899 0.351 0.351
21 Se 0.899 0.351 0.899
22 Se 0.899 0.899 0.351

space group: Fd-3m, No. 227
energy: -6.61 eV/atom
magnetic moment: 3.93 μB per formula unit
energy relative to the lowest polymorph listed for this composition: 0 meV/atom
N(E_F): 34.1 states/eV/cell
energy relative to the elements, uncorrected: -1108 meV/atom


# 8
## ZrPaSe2 (PBE)

Data for a geometry-optimized ZrPaSe2 structure.

a b c (Å): 4.889 4.889 4.889
angles (deg): 60.00 60.00 60.00
Fractional positions:
1 Zr 0.000 0.000 0.000
2 Pa 0.500 0.500 0.500
3 Se 0.250 0.250 0.250
4 Se 0.750 0.750 0.750

space group: Fm-3m, No. 225
energy: -7.31 eV/atom
magnetic moment: 0.00 μB per formula unit
energy relative to the lowest polymorph listed for this composition: 62 meV/atom
N(E_F): 3.0 states/eV/cell
energy relative to the elements, uncorrected: -1053 meV/atom